The following is a PBE-GGA calculation of a relaxed structure of SmHoPtAu, from Alexandria via LeMat-Bulk.

Unit cell a=4.6304 b=5.7066 c=5.7066 alpha=39.03 beta=90.00 gamma=90.00
Element x y z (fractional)
Sm 0.0000 0.0000 0.0000
Ho 0.5000 0.2760 0.2760
Pt 0.0000 0.7287 0.7287
Au 0.5000 0.5536 0.5536

Output
Its polymorph energy (0 for the lowest one) is 0.000 eV/atom. Its energy relative to the elements is -4.20 eV/f.u. Its total energy is -5.704 eV/atom. Its crystal system is orthorhombic. The spin magnetization comes out at 0.00 μB per formula unit.

The following is a PBE-GGA calculation of a relaxed structure of Na6Tl12Ag, from Alexandria via LeMat-Bulk.

Unit cell a=8.1768 b=8.1768 c=8.1768 alpha=92.08 beta=92.08 gamma=92.08
Element x y z (fractional)
Na 0.2229 0.3850 0.7603
Na 0.2397 0.7771 0.6150
Na 0.3850 0.7603 0.2229
Na 0.6150 0.2397 0.7771
Na 0.7603 0.2229 0.3850
Na 0.7771 0.6150 0.2397
Tl 0.0322 0.9497 0.2960
Tl 0.0503 0.7040 0.9678
Tl 0.1343 0.4564 0.3579
Tl 0.2960 0.0322 0.9497
Tl 0.3579 0.1343 0.4564
Tl 0.4564 0.3579 0.1343
Tl 0.5436 0.6421 0.8657
Tl 0.6421 0.8657 0.5436
Tl 0.7040 0.9678 0.0503
Tl 0.8657 0.5436 0.6421
Tl 0.9497 0.2960 0.0322
Tl 0.9678 0.0503 0.7040
Ag 0.5000 0.5000 0.5000

Output
Its polymorph energy (0 for the lowest one) is 0.000 eV/atom. Its energy relative to the elements is -1.08 eV/f.u. Its total energy is -2.118 eV/atom. Its crystal system is trigonal. The spin magnetization comes out at 0.00 μB per formula unit.

The following is a PBE-GGA calculation of a relaxed structure of TlRe2Mo, from Alexandria via LeMat-Bulk.

Unit cell a=5.0076 b=5.0076 c=4.8652 alpha=101.72 beta=101.72 gamma=34.90
Element x y z (fractional)
Tl 0.0000 0.0000 0.0000
Re 0.2376 0.2376 0.7068
Re 0.5050 0.5050 0.5037
Mo 0.7644 0.7644 0.2850

Output
Its polymorph energy (0 for the lowest one) is 0.185 eV/atom. Its energy relative to the elements is 2.67 eV/f.u. Its total energy is -8.857 eV/atom. Its crystal system is monoclinic. The spin magnetization comes out at 0.00 μB per formula unit.

The following is a PBE-GGA calculation of a relaxed structure of Ca2SmIn, from Alexandria via LeMat-Bulk.

Unit cell a=12.8473 b=12.8473 c=12.8473 alpha=16.29 beta=16.29 gamma=16.29
Element x y z (fractional)
Ca 0.0859 0.0859 0.0859
Ca 0.9141 0.9141 0.9141
Sm 0.5000 0.5000 0.5000
In 0.0000 0.0000 0.0000

Output
Its polymorph energy (0 for the lowest one) is 0.346 eV/atom. Its energy relative to the elements is 0.44 eV/f.u. Its total energy is -2.754 eV/atom. Its crystal system is trigonal. The spin magnetization comes out at 0.00 μB per formula unit.